# GaHgO2 | Alexandria via LeMat-Bulk | PBE | relaxed
data_GaHgO2
_cell_length_a 6.9698
_cell_length_b 6.9698
_cell_length_c 6.9698
_cell_angle_alpha 25.02
_cell_angle_beta 25.02
_cell_angle_gamma 25.02
_space_group_name_H-M_alt 'P 1'
_space_group_IT_number 1
loop_
_space_group_symop_operation_xyz
'x,y,z'
loop_
_atom_site_label
_atom_site_type_symbol
_atom_site_fract_x
_atom_site_fract_y
_atom_site_fract_z
_atom_site_occupancy
O1 O 0.8832 0.8832 0.8832 1
O2 O 0.1168 0.1168 0.1168 1
Hg1 Hg 0.0000 0.0000 0.0000 1
Ga1 Ga 0.5000 0.5000 0.5000 1
# **Offset from the most stable computed form**: 0 meV per atom
# **Space group**: No. 166
# **DOS(E_F)**: 2.1 states/eV/f.u.